This record from Alexandria via LeMat-Bulk describes BaBOsBr2 after structural relaxation. The functional is PBE.

Results
M_tot: 3.19 μB per formula unit
Uncorrected energy: -3.60 eV per atom
ΔE_f (raw): 1038 meV per atom

```
data_BaBOsBr2
_symmetry_space_group_name_H-M 'P 4/m m m'
_symmetry_Int_Tables_number 123
_symmetry_space_group_name_Hall '-P 4 2'
_cell_length_a 4.953
_cell_length_b 4.953
_cell_length_c 6.496
_cell_angle_alpha 90.00
_cell_angle_beta 90.00
_cell_angle_gamma 90.00
loop_
_atom_site_label
_atom_site_fract_x
_atom_site_fract_y
_atom_site_fract_z
Ba1 0.000 0.000 0.000
B1 0.500 0.500 0.000
Os1 0.000 0.000 0.500
Br1 0.000 0.500 0.500
```

This record from Alexandria via LeMat-Bulk describes BaB2PBr after structural relaxation. The functional is PBE.

Results
M_tot: 0.00 μB per formula unit
Uncorrected energy: -3.03 eV per atom
ΔE_f (raw): 1443 meV per atom

```
data_BaB2PBr
_symmetry_space_group_name_H-M 'P 4/m m m'
_symmetry_Int_Tables_number 123
_symmetry_space_group_name_Hall '-P 4 2'
_cell_length_a 4.845
_cell_length_b 4.845
_cell_length_c 5.037
_cell_angle_alpha 90.00
_cell_angle_beta 90.00
_cell_angle_gamma 90.00
loop_
_atom_site_label
_atom_site_fract_x
_atom_site_fract_y
_atom_site_fract_z
Ba1 0.000 0.000 0.000
B1 0.000 0.500 0.500
P1 0.500 0.500 0.000
Br1 0.500 0.500 0.500
```

This record from Alexandria via LeMat-Bulk describes Ba2BPtBr after structural relaxation. The functional is PBE.

Results
M_tot: 0.00 μB per formula unit
Uncorrected energy: -4.51 eV per atom
ΔE_f (raw): -867 meV per atom

```
data_Ba2BPtBr
_symmetry_space_group_name_H-M 'P 4/m m m'
_symmetry_Int_Tables_number 123
_symmetry_space_group_name_Hall '-P 4 2'
_cell_length_a 6.025
_cell_length_b 6.025
_cell_length_c 4.070
_cell_angle_alpha 90.00
_cell_angle_beta 90.00
_cell_angle_gamma 90.00
loop_
_atom_site_label
_atom_site_fract_x
_atom_site_fract_y
_atom_site_fract_z
Ba1 0.000 0.500 0.000
B1 0.000 0.000 0.000
Pt1 0.000 0.000 0.500
Br1 0.500 0.500 0.500
```

This record from Alexandria via LeMat-Bulk describes Rb2BaBBr6 after structural relaxation. The functional is PBE.

Results
M_tot: 0.98 μB per formula unit
Uncorrected energy: -3.09 eV per atom
ΔE_f (raw): -1034 meV per atom

```
data_Rb2BaBBr6
_symmetry_space_group_name_H-M 'I 4/m m m'
_symmetry_Int_Tables_number 139
_symmetry_space_group_name_Hall '-I 4 2'
_cell_length_a 7.977
_cell_length_b 7.977
_cell_length_c 11.301
_cell_angle_alpha 90.00
_cell_angle_beta 90.00
_cell_angle_gamma 90.00
loop_
_atom_site_label
_atom_site_fract_x
_atom_site_fract_y
_atom_site_fract_z
Rb1 0.000 0.500 0.250
Ba1 0.000 0.000 0.000
B1 0.000 0.000 0.500
Br1 0.000 0.000 0.278
Br2 0.221 0.221 0.500
```

This record from Alexandria via LeMat-Bulk describes Ba2BRuBr after structural relaxation. The functional is PBE.

Results
M_tot: 0.00 μB per formula unit
Uncorrected energy: -4.68 eV per atom
ΔE_f (raw): -388 meV per atom

```
data_Ba2BRuBr
_symmetry_space_group_name_H-M 'P 4/m m m'
_symmetry_Int_Tables_number 123
_symmetry_space_group_name_Hall '-P 4 2'
_cell_length_a 5.948
_cell_length_b 5.948
_cell_length_c 4.099
_cell_angle_alpha 90.00
_cell_angle_beta 90.00
_cell_angle_gamma 90.00
loop_
_atom_site_label
_atom_site_fract_x
_atom_site_fract_y
_atom_site_fract_z
Ba1 0.000 0.500 0.000
B1 0.000 0.000 0.500
Ru1 0.000 0.000 0.000
Br1 0.500 0.500 0.500
```

This record from Alexandria via LeMat-Bulk describes BaBTeBr2 after structural relaxation. The functional is PBE.

Results
M_tot: 0.00 μB per formula unit
Uncorrected energy: -3.49 eV per atom
ΔE_f (raw): -473 meV per atom

```
data_BaBTeBr2
_symmetry_space_group_name_H-M 'P 4/m m m'
_symmetry_Int_Tables_number 123
_symmetry_space_group_name_Hall '-P 4 2'
_cell_length_a 5.356
_cell_length_b 5.356
_cell_length_c 4.859
_cell_angle_alpha 90.00
_cell_angle_beta 90.00
_cell_angle_gamma 90.00
loop_
_atom_site_label
_atom_site_fract_x
_atom_site_fract_y
_atom_site_fract_z
Ba1 0.000 0.000 0.000
B1 0.500 0.500 0.500
Te1 0.500 0.500 0.000
Br1 0.000 0.500 0.500
```

This record from Alexandria via LeMat-Bulk describes BaB2TeBr after structural relaxation. The functional is PBE.

Results
M_tot: 0.00 μB per formula unit
Uncorrected energy: -3.31 eV per atom
ΔE_f (raw): 709 meV per atom

```
data_BaB2TeBr
_symmetry_space_group_name_H-M 'P 4/m m m'
_symmetry_Int_Tables_number 123
_symmetry_space_group_name_Hall '-P 4 2'
_cell_length_a 4.539
_cell_length_b 4.539
_cell_length_c 6.894
_cell_angle_alpha 90.00
_cell_angle_beta 90.00
_cell_angle_gamma 90.00
loop_
_atom_site_label
_atom_site_fract_x
_atom_site_fract_y
_atom_site_fract_z
Ba1 0.000 0.000 0.000
B1 0.000 0.500 0.500
Te1 0.500 0.500 0.500
Br1 0.500 0.500 0.000
```

This record from Alexandria via LeMat-Bulk describes BaTlBBr2 after structural relaxation. The functional is PBE.

Results
M_tot: 2.00 μB per formula unit
Uncorrected energy: -2.56 eV per atom
ΔE_f (raw): 302 meV per atom

```
data_BaTlBBr2
_symmetry_space_group_name_H-M 'P 4/m m m'
_symmetry_Int_Tables_number 123
_symmetry_space_group_name_Hall '-P 4 2'
_cell_length_a 6.137
_cell_length_b 6.137
_cell_length_c 7.895
_cell_angle_alpha 90.00
_cell_angle_beta 90.00
_cell_angle_gamma 90.00
loop_
_atom_site_label
_atom_site_fract_x
_atom_site_fract_y
_atom_site_fract_z
Ba1 0.000 0.000 0.000
Tl1 0.000 0.000 0.500
B1 0.500 0.500 0.500
Br1 0.000 0.500 0.000
```

This record from Alexandria via LeMat-Bulk describes BaVB2Br after structural relaxation. The functional is PBE.

Results
M_tot: 0.60 μB per formula unit
Uncorrected energy: -2.79 eV per atom
ΔE_f (raw): 2426 meV per atom

```
data_BaVB2Br
_symmetry_space_group_name_H-M 'P 4/m m m'
_symmetry_Int_Tables_number 123
_symmetry_space_group_name_Hall '-P 4 2'
_cell_length_a 5.069
_cell_length_b 5.069
_cell_length_c 5.988
_cell_angle_alpha 90.00
_cell_angle_beta 90.00
_cell_angle_gamma 90.00
loop_
_atom_site_label
_atom_site_fract_x
_atom_site_fract_y
_atom_site_fract_z
Ba1 0.000 0.000 0.000
V1 0.500 0.500 0.500
B1 0.000 0.500 0.000
Br1 0.000 0.000 0.500
```

This record from Alexandria via LeMat-Bulk describes BaB3C3 after structural relaxation. The functional is PBE.

Results
M_tot: 1.05 μB per formula unit
Energy of formation from the pure elements: 1.09 eV per atom
Uncorrected energy: -6.00 eV per atom
E above lowest polymorph: 753.6 meV/atom

```
data_BaB3C3
_symmetry_space_group_name_H-M 'P 63/m'
_symmetry_Int_Tables_number 176
_symmetry_space_group_name_Hall '-P 6c'
_cell_length_a 7.1395
_cell_length_b 7.1395
_cell_length_c 5.8138
_cell_angle_alpha 90.00
_cell_angle_beta 90.00
_cell_angle_gamma 120.00
loop_
_atom_site_label
_atom_site_fract_x
_atom_site_fract_y
_atom_site_fract_z
Ba1 0.3333 0.6667 0.2500
B1 0.2007 0.4040 0.7500
C1 0.1484 0.5751 0.7500
```

This record from Alexandria via LeMat-Bulk describes Ba2BC2 after structural relaxation. The functional is PBE.

Results
M_tot: 0.84 μB per formula unit
Energy of formation from the pure elements: 0.62 eV per atom
Uncorrected energy: -5.17 eV per atom

```
data_Ba2BC2
_symmetry_space_group_name_H-M 'P 4/m b m'
_symmetry_Int_Tables_number 127
_symmetry_space_group_name_Hall '-P 4 2ab'
_cell_length_a 7.792
_cell_length_b 7.792
_cell_length_c 3.679
_cell_angle_alpha 90.00
_cell_angle_beta 90.00
_cell_angle_gamma 90.00
loop_
_atom_site_label
_atom_site_fract_x
_atom_site_fract_y
_atom_site_fract_z
Ba1 0.227 0.273 0.000
B1 0.000 0.000 0.500
C1 0.058 0.558 0.500
```

This record from Alexandria via LeMat-Bulk describes BaB3C after structural relaxation. The functional is PBE.

Results
M_tot: 0.00 μB per formula unit
Energy of formation from the pure elements: 4.18 eV per atom
Uncorrected energy: -2.05 eV per atom
E above lowest polymorph: 2062.2 meV/atom

```
data_BaB3C
_symmetry_space_group_name_H-M 'P m -3 m'
_symmetry_Int_Tables_number 221
_symmetry_space_group_name_Hall '-P 4 2 3'
_cell_length_a 5.003
_cell_length_b 5.003
_cell_length_c 5.003
_cell_angle_alpha 90.00
_cell_angle_beta 90.00
_cell_angle_gamma 90.00
loop_
_atom_site_label
_atom_site_fract_x
_atom_site_fract_y
_atom_site_fract_z
Ba1 0.000 0.000 0.000
B1 0.000 0.000 0.500
C1 0.500 0.500 0.500
```

This record from Alexandria via LeMat-Bulk describes BaB6C2 after structural relaxation. The functional is PBE.

Results
M_tot: 0.00 μB per formula unit
Energy of formation from the pure elements: 0.23 eV per atom
Uncorrected energy: -6.49 eV per atom

```
data_BaB6C2
_symmetry_space_group_name_H-M 'C 1 2/m 1'
_symmetry_Int_Tables_number 12
_symmetry_space_group_name_Hall '-C 2y'
_cell_length_a 5.894
_cell_length_b 6.716
_cell_length_c 5.699
_cell_angle_alpha 90.00
_cell_angle_beta 120.94
_cell_angle_gamma 90.00
loop_
_atom_site_label
_atom_site_fract_x
_atom_site_fract_y
_atom_site_fract_z
Ba1 0.000 0.000 0.000
B1 0.000 0.250 0.500
B2 0.203 0.364 0.406
C1 0.070 0.500 0.140
```

This record from Alexandria via LeMat-Bulk describes BaBC3 after structural relaxation. The functional is PBE.

Results
M_tot: 0.00 μB per formula unit
Energy of formation from the pure elements: 2.23 eV per atom
Uncorrected energy: -5.02 eV per atom
E above lowest polymorph: 0.0 meV/atom

```
data_BaBC3
_symmetry_space_group_name_H-M 'P m -3 m'
_symmetry_Int_Tables_number 221
_symmetry_space_group_name_Hall '-P 4 2 3'
_cell_length_a 3.883
_cell_length_b 3.883
_cell_length_c 3.883
_cell_angle_alpha 90.00
_cell_angle_beta 90.00
_cell_angle_gamma 90.00
loop_
_atom_site_label
_atom_site_fract_x
_atom_site_fract_y
_atom_site_fract_z
Ba1 0.000 0.000 0.000
B1 0.500 0.500 0.500
C1 0.000 0.500 0.500
```

This record from Alexandria via LeMat-Bulk describes BaB3C after structural relaxation. The functional is PBE.

Results
M_tot: 0.00 μB per formula unit
Energy of formation from the pure elements: 2.12 eV per atom
Uncorrected energy: -4.11 eV per atom
E above lowest polymorph: 0.0 meV/atom

```
data_BaB3C
_symmetry_space_group_name_H-M 'P m -3 m'
_symmetry_Int_Tables_number 221
_symmetry_space_group_name_Hall '-P 4 2 3'
_cell_length_a 3.996
_cell_length_b 3.996
_cell_length_c 3.996
_cell_angle_alpha 90.00
_cell_angle_beta 90.00
_cell_angle_gamma 90.00
loop_
_atom_site_label
_atom_site_fract_x
_atom_site_fract_y
_atom_site_fract_z
Ba1 0.000 0.000 0.000
B1 0.000 0.500 0.500
C1 0.500 0.500 0.500
```

This record from Alexandria via LeMat-Bulk describes BaBC3 after structural relaxation. The functional is PBE.

Results
M_tot: 4.35 μB per formula unit
Energy of formation from the pure elements: 4.49 eV per atom
Uncorrected energy: -2.76 eV per atom
E above lowest polymorph: 2260.0 meV/atom

```
data_BaBC3
_symmetry_space_group_name_H-M 'P m -3 m'
_symmetry_Int_Tables_number 221
_symmetry_space_group_name_Hall '-P 4 2 3'
_cell_length_a 5.034
_cell_length_b 5.034
_cell_length_c 5.034
_cell_angle_alpha 90.00
_cell_angle_beta 90.00
_cell_angle_gamma 90.00
loop_
_atom_site_label
_atom_site_fract_x
_atom_site_fract_y
_atom_site_fract_z
Ba1 0.000 0.000 0.000
B1 0.500 0.500 0.500
C1 0.000 0.000 0.500
```

This record from Alexandria via LeMat-Bulk describes BaB3C3 after structural relaxation. The functional is PBE.

Results
M_tot: 0.00 μB per formula unit
Energy of formation from the pure elements: 0.33 eV per atom
Uncorrected energy: -6.75 eV per atom
E above lowest polymorph: 0.0 meV/atom

```
data_BaB3C3
_symmetry_space_group_name_H-M 'P m -3 n'
_symmetry_Int_Tables_number 223
_symmetry_space_group_name_Hall '-P 4n 2 3'
_cell_length_a 5.032
_cell_length_b 5.032
_cell_length_c 5.032
_cell_angle_alpha 90.00
_cell_angle_beta 90.00
_cell_angle_gamma 90.00
loop_
_atom_site_label
_atom_site_fract_x
_atom_site_fract_y
_atom_site_fract_z
Ba1 0.000 0.000 0.000
B1 0.000 0.250 0.500
C1 0.000 0.500 0.250
```

This record from Alexandria via LeMat-Bulk describes BaBC after structural relaxation. The functional is PBE.

Results
M_tot: 0.00 μB per formula unit
Energy of formation from the pure elements: 0.51 eV per atom
Uncorrected energy: -5.43 eV per atom
E above lowest polymorph: 442.0 meV/atom

```
data_BaBC
_symmetry_space_group_name_H-M 'P 63/m m c'
_symmetry_Int_Tables_number 194
_symmetry_space_group_name_Hall '-P 6c 2c'
_cell_length_a 3.0984
_cell_length_b 3.0984
_cell_length_c 9.9794
_cell_angle_alpha 90.00
_cell_angle_beta 90.00
_cell_angle_gamma 120.00
loop_
_atom_site_label
_atom_site_fract_x
_atom_site_fract_y
_atom_site_fract_z
Ba1 0.0000 0.0000 0.0000
B1 0.3333 0.6667 0.2500
C1 0.3333 0.6667 0.7500
```

This record from Alexandria via LeMat-Bulk describes BaBC after structural relaxation. The functional is PBE.

Results
M_tot: 0.00 μB per formula unit
Energy of formation from the pure elements: 0.07 eV per atom
Uncorrected energy: -5.87 eV per atom
E above lowest polymorph: 0.0 meV/atom

```
data_BaBC
_symmetry_space_group_name_H-M 'P n m a'
_symmetry_Int_Tables_number 62
_symmetry_space_group_name_Hall '-P 2ac 2n'
_cell_length_a 11.008
_cell_length_b 4.253
_cell_length_c 4.942
_cell_angle_alpha 90.00
_cell_angle_beta 90.00
_cell_angle_gamma 90.00
loop_
_atom_site_label
_atom_site_fract_x
_atom_site_fract_y
_atom_site_fract_z
Ba1 0.153 0.250 0.019
B1 0.000 0.000 0.500
C1 0.067 0.750 0.348
```

This record from Alexandria via LeMat-Bulk describes BaB4C2 after structural relaxation. The functional is PBE.

Results
M_tot: 0.00 μB per formula unit
Energy of formation from the pure elements: 0.68 eV per atom
Uncorrected energy: -6.04 eV per atom

```
data_BaB4C2
_symmetry_space_group_name_H-M 'P 42/m n m'
_symmetry_Int_Tables_number 136
_symmetry_space_group_name_Hall '-P 4n 2n'
_cell_length_a 6.912
_cell_length_b 6.912
_cell_length_c 3.242
_cell_angle_alpha 90.00
_cell_angle_beta 90.00
_cell_angle_gamma 90.00
loop_
_atom_site_label
_atom_site_fract_x
_atom_site_fract_y
_atom_site_fract_z
Ba1 0.000 0.000 0.000
B1 0.087 0.390 0.500
C1 0.230 0.230 0.500
```